## NaPrAsO (PBE)

Data for a relaxed structure of NaPrAsO.

a b c (Å): 5.9884 5.9884 5.0498
angles (deg): 90.00 90.00 90.00
Last column: nearest neighbours and their distance in Å.
Atoms (fractional coordinates):
Pr 0.7500 0.2500 0.5000  2 O 2.52
O 0.7500 0.2500 0.0000  2 Pr 2.52
Pr 0.2500 0.7500 0.5000  2 O 2.52
As 0.2500 0.2500 0.5048  2 Na 2.52-2.53
Na 0.7500 0.7500 0.9953  2 As 2.52-2.53
As 0.7500 0.7500 0.4952  2 Na 2.52-2.53
Na 0.2500 0.2500 0.0047  2 As 2.52-2.53
O 0.2500 0.7500 0.0000  2 Pr 2.52

Computed properties:
ρ = 4.673 g/cm3
total DFT energy (no corrections) = -0.372 Ry per atom